Material: TlSe2IN
Method: DFT, PBE
State: optimized geometry

Geometry as POSCAR:
```
TlSe2IN
1.0
5.609 0.000 0.000
0.000 5.609 0.000
0.000 0.000 4.374
N I Tl Se
1 1 1 2
Cartesian
0.000 0.000 2.187 N
2.804 2.804 2.187 I
0.000 0.000 0.000 Tl
2.804 0.000 0.000 Se
0.000 2.804 0.000 Se
```

Results
The calculation puts the uncorrected formation energy at 1.21 eV per atom. The value obtained for the energy above the most stable polymorph in this dataset is 247 meV/atom. Its space group is P4/mmm (123).

Material: Cd3Hg12Bi5
Method: DFT, PBE
State: optimized geometry

Geometry as POSCAR:
```
Cd3Hg12Bi5
1.0
-11.940 9.128 0.269
0.141 -8.434 12.442
12.573 8.214 -0.628
Hg Cd Bi
48 12 20
Cartesian
1.486 10.473 7.189 Hg
-1.430 -2.607 8.356 Hg
-0.539 4.094 3.140 Hg
-4.242 -1.182 8.434 Hg
1.768 1.488 2.016 Hg
-4.876 9.265 3.202 Hg
5.650 -0.357 8.881 Hg
-4.409 6.307 5.353 Hg
-0.245 14.752 1.029 Hg
9.665 3.758 4.903 Hg
-0.712 -1.565 4.894 Hg
3.755 8.352 6.646 Hg
-2.981 0.556 5.437 Hg
-0.366 9.091 2.781 Hg
-1.654 1.792 10.673 Hg
8.734 2.726 10.268 Hg
8.579 1.352 7.434 Hg
-2.700 12.807 0.659 Hg
2.428 7.116 1.410 Hg
-6.488 2.161 11.180 Hg
-8.891 5.150 7.180 Hg
-7.805 7.556 4.649 Hg
1.623 1.776 6.879 Hg
-0.849 7.132 5.204 Hg
5.016 10.090 3.649 Hg
5.183 2.601 6.731 Hg
7.359 5.859 4.450 Hg
1.019 -5.844 11.054 Hg
4.676 2.700 1.884 Hg
-3.902 6.208 10.199 Hg
1.825 2.818 11.330 Hg
5.315 1.731 11.220 Hg
2.204 11.515 3.727 Hg
9.679 8.673 0.277 Hg
-0.994 7.420 10.067 Hg
-5.069 4.257 3.049 Hg
1.140 -0.183 9.303 Hg
-8.905 0.235 11.806 Hg
-1.051 6.090 0.754 Hg
5.843 4.651 9.034 Hg
3.474 -3.899 11.424 Hg
2.487 5.852 4.298 Hg
-4.541 7.177 0.863 Hg
-6.585 3.049 7.634 Hg
-1.713 3.056 7.785 Hg
-7.960 6.182 1.815 Hg
7.262 6.747 0.903 Hg
1.313 4.814 8.943 Hg
-7.331 4.710 4.789 Cd
3.486 2.231 9.040 Cd
-2.712 6.677 3.043 Cd
-8.770 2.688 9.488 Cd
1.748 4.308 1.387 Cd
8.061 -0.078 10.449 Cd
9.544 6.220 2.595 Cd
-1.246 0.205 7.720 Cd
2.020 8.703 4.363 Cd
-7.287 8.986 1.634 Cd
-0.974 4.600 10.696 Cd
8.105 4.198 7.294 Cd
1.704 0.032 4.542 Bi
0.387 4.454 6.042 Bi
4.970 8.529 1.185 Bi
-4.152 4.655 7.743 Bi
2.064 12.979 1.208 Bi
-0.930 8.876 7.541 Bi
-1.290 -4.071 10.876 Bi
-5.970 4.564 0.135 Bi
0.000 0.000 0.000 Bi
-4.196 0.379 10.898 Bi
6.287 4.107 -0.314 Bi
0.317 8.671 -0.179 Bi
6.357 -0.110 5.907 Bi
4.926 4.253 4.341 Bi
-2.554 11.012 2.953 Bi
3.645 6.567 8.950 Bi
3.328 -2.104 9.130 Bi
-5.900 0.347 6.356 Bi
0.070 -4.217 6.221 Bi
-2.871 2.341 3.133 Bi
```

Results
Its space group is Ia-3d (230). Its energy of formation from the pure elements is 0.15 eV per atom.

Material: ZrNi3Pt6
Method: DFT, PBE
State: optimized geometry

Geometry as POSCAR:
```
ZrNi3Pt6
1.0
-2.944 1.827 -1.920
-3.960 -7.453 -1.021
-4.048 1.606 7.736
Ni Pt Zr
6 12 2
Cartesian
-7.714 -3.477 6.477 Ni
-6.440 -0.992 2.801 Ni
-5.413 -0.816 5.481 Ni
-4.512 -3.029 1.994 Ni
-5.539 -3.204 -0.685 Ni
-3.238 -0.543 -1.682 Ni
-3.875 -0.692 3.240 Pt
-6.003 -3.074 4.236 Pt
-4.636 1.481 6.475 Pt
-7.077 -3.329 1.555 Pt
-5.682 1.345 3.864 Pt
-2.966 -2.818 -0.177 Pt
-8.745 -3.584 3.870 Pt
-4.949 -0.946 0.559 Pt
-2.207 -0.437 0.925 Pt
-5.270 -5.366 0.931 Pt
-6.316 -5.501 -1.680 Pt
-7.986 -1.202 4.972 Pt
-4.023 1.484 1.451 Zr
-6.929 -5.505 3.344 Zr
```

Results
Its space group is P2_1/m (11). Its energy of formation from the pure elements is -0.36 eV per atom.

Material: LuSi2Ru2
Method: DFT, PBE
State: optimized geometry

Geometry as POSCAR:
```
LuSi2Ru2
1.0
5.563 0.012 0.000
2.441 4.999 0.000
-4.002 -2.506 2.942
Ru Si Lu
2 2 1
Cartesian
2.782 0.006 1.471 Ru
1.220 2.499 1.471 Ru
5.039 3.155 0.000 Si
2.965 1.856 0.000 Si
0.000 0.000 0.000 Lu
```

Results
The calculation puts the uncorrected formation energy at -0.90 eV per atom. Its space group is I4/mmm (139).

Material: NdCo
Method: DFT, PBE
State: optimized geometry

Geometry as POSCAR:
```
NdCo
1.0
2.906 4.931 -0.033
-2.906 4.931 -0.033
0.000 0.058 7.393
Co Nd
5 5
Cartesian
-1.218 5.989 5.436 Co
-1.218 3.931 1.890 Co
1.218 5.989 5.436 Co
0.000 4.960 3.663 Co
1.218 3.931 1.890 Co
0.000 8.329 4.162 Nd
0.000 0.000 0.000 Nd
0.000 6.530 0.882 Nd
0.000 3.390 6.444 Nd
0.000 1.591 3.163 Nd
```

Results
Its space group is C2/m (12). Its energy of formation from the pure elements is 0.01 eV per atom.

Material: RuC
Method: DFT, PBE
State: optimized geometry

Geometry as POSCAR:
```
RuC
1.0
2.673 0.000 0.000
0.000 2.673 0.000
0.000 0.000 2.673
C Ru
1 1
Cartesian
0.000 0.000 0.000 C
1.337 1.337 1.337 Ru
```

Results
The value obtained for the energy above the most stable polymorph in this dataset is 846 meV/atom. Its space group is Pm-3m (221). Its energy of formation from the pure elements is 1.21 eV per atom.

Material: ScTiRe4
Method: DFT, PBE
State: optimized geometry

Geometry as POSCAR:
```
ScTiRe4
1.0
5.231 0.000 0.000
2.616 4.531 0.000
2.616 1.510 4.271
Re Ti Sc
4 1 1
Cartesian
3.921 3.777 2.671 Re
5.231 3.020 0.531 Re
6.542 3.777 2.671 Re
5.231 1.508 2.671 Re
0.000 0.000 0.000 Ti
2.616 1.510 1.068 Sc
```

Results
Its space group is F-43m (216). Its energy of formation from the pure elements is -0.22 eV per atom.

Material: ZrOsSe4
Method: DFT, PBE
State: optimized geometry

Geometry as POSCAR:
```
ZrOsSe4
1.0
0.000 3.874 3.874
3.874 0.000 3.874
3.874 3.874 0.000
Se Os Zr
4 1 1
Cartesian
4.847 2.900 4.847 Se
2.900 2.900 2.900 Se
2.900 4.847 4.847 Se
4.847 4.847 2.900 Se
0.000 0.000 0.000 Os
5.811 5.811 5.811 Zr
```

Results
The calculation puts the uncorrected formation energy at 0.96 eV per atom. Its space group is F-43m (216).

no.,N(E_F) (states/eV/atom)
1,0.819
2,0.888
3,1.320
4,0.497
5,1.028
6,1.115
7,1.345
8,0.821